1.
Rb2CeBr4 after structural relaxation. Source: Alexandria via LeMat-Bulk, functional PBE.

abc: 16.196 4.195 9.544
angles: 90.00 121.27 90.00
Space group C2/m (No. 12)
One atom of each set of equivalent atoms:
Rb1 0.143 0.000 0.193 x4
Ce1 0.000 0.500 0.500 x2
Br1 0.045 0.500 0.847 x4
Br2 0.160 0.000 0.583 x4

As for the theoretical density: 3.78 Mg/m³. The value obtained for the density of states at the Fermi level is 8.23 states/eV/f.u.

***

2.
Rb2CeBr4 after structural relaxation. Source: Alexandria via LeMat-Bulk, functional PBE.

abc: 5.908 5.908 17.570
angles: 90.00 90.00 90.00
Space group I4/mmm (No. 139)
One atom of each set of equivalent atoms:
Rb1 0.000 0.000 0.138 x4
Ce1 0.000 0.000 0.500 x2
Br1 0.000 0.000 0.330 x4
Br2 0.000 0.500 0.000 x4

As for the theoretical density: 3.42 Mg/m³. The value obtained for the density of states at the Fermi level is 10.49 states/eV/f.u.

***

Energetically preferred structure: 1 | next structure: +48 meV per atom

***

1.
Ce4RhBr5 after structural relaxation. Source: Alexandria via LeMat-Bulk, functional PBE.

abc: 18.484 3.966 8.705
angles: 90.00 100.88 90.00
Space group C2/m (No. 12)
One atom of each set of equivalent atoms:
Ce1 0.003 0.000 0.218 x4
Ce2 0.166 0.500 0.061 x4
Rh1 0.000 0.500 0.000 x2
Br1 0.000 0.500 0.500 x2
Br2 0.165 0.000 0.794 x4
Br3 0.168 0.000 0.325 x4

As for the theoretical density: 5.63 Mg/m³. The value obtained for the density of states at the Fermi level is 23.70 states/eV/f.u.

***

2.
Ce4RhBr5 after structural relaxation. Source: Alexandria via LeMat-Bulk, functional PBE.

abc: 20.824 3.995 7.721
angles: 90.00 100.20 90.00
Space group C2/m (No. 12)
One atom of each set of equivalent atoms:
Ce1 0.055 0.000 0.331 x4
Ce2 0.115 0.500 0.792 x4
Rh1 0.000 0.500 0.500 x2
Br1 0.000 0.500 0.000 x2
Br2 0.163 0.000 0.086 x4
Br3 0.182 0.000 0.593 x4

As for the theoretical density: 5.58 Mg/m³. The value obtained for the density of states at the Fermi level is 25.35 states/eV/f.u.

***

Energetically preferred structure: 1 | next structure: +36 meV per atom

***

1.
Ce2RuBr after structural relaxation. Source: Alexandria via LeMat-Bulk, functional PBE.

abc: 5.895 3.981 9.179
angles: 90.00 90.02 90.00
Space group P2_1/m (No. 11)
One atom of each set of equivalent atoms:
Ce1 0.250 0.250 0.098 x2
Ce2 0.250 0.250 0.690 x2
Ru1 0.250 0.750 0.876 x2
Br1 0.250 0.750 0.402 x2

As for the theoretical density: 7.11 Mg/m³. The value obtained for the density of states at the Fermi level is 10.51 states/eV/f.u.

***

2.
Ce2RuBr after structural relaxation. Source: Alexandria via LeMat-Bulk, functional PBE.

abc: 3.389 3.389 8.174
angles: 90.00 90.00 90.00
Space group P4/mmm (No. 123)
One atom of each set of equivalent atoms:
Ce1 0.000 0.000 0.216 x2
Ru1 0.500 0.500 0.000 x1
Br1 0.500 0.500 0.500 x1

As for the theoretical density: 8.16 Mg/m³. The value obtained for the density of states at the Fermi level is 9.63 states/eV/f.u.

***

3.
Ce2RuBr after structural relaxation. Source: Alexandria via LeMat-Bulk, functional PBE.

abc: 4.0272 4.0272 23.1113
angles: 90.00 90.00 120.00
Space group R-3m (No. 166, hexagonal axes)
One atom of each set of equivalent atoms:
Ce1 0.0000 0.0000 0.2321 x6
Ru1 0.0000 0.0000 0.5000 x3
Br1 0.0000 0.0000 0.0000 x3

As for the theoretical density: 7.08 Mg/m³. The value obtained for the density of states at the Fermi level is 10.36 states/eV/f.u.

***

4.
Ce2RuBr after structural relaxation. Source: Alexandria via LeMat-Bulk, functional PBE.

abc: 3.9856 3.9856 23.5907
angles: 90.00 90.00 120.00
Space group R3m (No. 160, hexagonal axes)
One atom of each set of equivalent atoms:
Ce1 0.0000 0.0000 0.0000 x3
Ce2 0.0000 0.0000 0.2030 x3
Ru1 0.0000 0.0000 0.6035 x3
Br1 0.0000 0.0000 0.4338 x3

As for the theoretical density: 7.08 Mg/m³. The value obtained for the density of states at the Fermi level is 10.26 states/eV/f.u.

***

Energetically preferred structure: 3 | next structure: +18 meV per atom

***

1.
CeSBr3 after structural relaxation. Source: Alexandria via LeMat-Bulk, functional PBE.

abc: 7.520 14.314 14.610
angles: 90.00 97.87 90.00
Space group C2/c (No. 15)
One atom of each set of equivalent atoms:
Ce1 0.092 0.060 0.138 x8
S1 0.125 0.188 0.287 x8
Br1 0.122 0.356 0.916 x8
Br2 0.141 0.107 0.531 x8
Br3 0.229 0.043 0.802 x8

As for the theoretical density: 3.51 Mg/m³.

***

2.
CeSBr3 after structural relaxation. Source: Alexandria via LeMat-Bulk, functional PBE.

abc: 11.553 8.976 7.740
angles: 90.00 127.85 90.00
Space group C2/m (No. 12)
One atom of each set of equivalent atoms:
Ce1 0.235 0.000 0.101 x4
S1 0.048 0.500 0.426 x4
Br1 0.064 0.000 0.277 x4
Br2 0.213 0.312 0.170 x8

As for the theoretical density: 4.32 Mg/m³. The value obtained for the density of states at the Fermi level is 2.20 states/eV/f.u.

***

Energetically preferred structure: 2 | next structure: +6 meV per atom

***

1.
Ce4S6Br after structural relaxation. Source: Alexandria via LeMat-Bulk, functional PBE.

abc: 8.5688 8.5688 3.9776
angles: 90.00 90.00 120.00
Space group P-6m2 (No. 187)
One atom of each set of equivalent atoms:
Ce1 0.0000 0.0000 0.0000 x1
Ce2 0.0246 0.5123 0.5000 x3
S1 0.2073 0.4146 0.0000 x3
S2 0.2769 0.1385 0.5000 x3
Br1 0.6667 0.3333 0.0000 x1

As for the theoretical density: 5.47 Mg/m³. The value obtained for the density of states at the Fermi level is 20.38 states/eV/f.u.

***

2.
Ce4S6Br after structural relaxation. Source: Alexandria via LeMat-Bulk, functional PBE.

abc: 7.511 7.511 10.236
angles: 90.00 90.00 90.00
Space group I-42m (No. 121)
One atom of each set of equivalent atoms:
Ce1 0.221 0.221 0.102 x8
S1 0.000 0.500 0.000 x4
S2 0.148 0.148 0.838 x8
Br1 0.000 0.000 0.500 x2

As for the theoretical density: 4.79 Mg/m³. The value obtained for the density of states at the Fermi level is 20.61 states/eV/f.u.

***

Energetically preferred structure: 1 | next structure: +12 meV per atom

***

1.
Ce2S2Br after structural relaxation. Source: Alexandria via LeMat-Bulk, functional PBE.

abc: 5.0662 5.0662 5.7454
angles: 90.00 90.00 120.00
Space group P-3m1 (No. 164)
One atom of each set of equivalent atoms:
Ce1 0.3333 0.6667 0.2300 x2
S1 0.3333 0.6667 0.7188 x2
Br1 0.0000 0.0000 0.0000 x1

As for the theoretical density: 5.52 Mg/m³. The value obtained for the density of states at the Fermi level is 13.20 states/eV/f.u.

***

2.
Ce2S2Br after structural relaxation. Source: Alexandria via LeMat-Bulk, functional PBE.

abc: 5.241 5.241 10.047
angles: 90.00 90.00 90.00
Space group P4/nmm (No. 129, origin choice 2)
One atom of each set of equivalent atoms:
Ce1 0.250 0.250 0.093 x2
Ce2 0.250 0.750 0.500 x2
S1 0.250 0.250 0.371 x2
S2 0.250 0.750 0.000 x2
Br1 0.250 0.250 0.699 x2

As for the theoretical density: 5.11 Mg/m³. The value obtained for the density of states at the Fermi level is 11.59 states/eV/f.u.

***

Energetically preferred structure: 1 | next structure: +28 meV per atom

***

1.
Ce2SBr after structural relaxation. Source: Alexandria via LeMat-Bulk, functional PBE.

abc: 3.9400 3.9400 22.8669
angles: 90.00 90.00 120.00
Space group R3m (No. 160, hexagonal axes)
One atom of each set of equivalent atoms:
Ce1 0.0000 0.0000 0.0000 x3
Ce2 0.0000 0.0000 0.1938 x3
S1 0.0000 0.0000 0.5972 x3
Br1 0.0000 0.0000 0.4282 x3

As for the theoretical density: 6.36 Mg/m³. The value obtained for the density of states at the Fermi level is 10.53 states/eV/f.u.

***

2.
Ce2SBr after structural relaxation. Source: Alexandria via LeMat-Bulk, functional PBE.

abc: 4.0112 4.0112 21.4158
angles: 90.00 90.00 120.00
Space group R-3m (No. 166, hexagonal axes)
One atom of each set of equivalent atoms:
Ce1 0.0000 0.0000 0.2389 x6
S1 0.0000 0.0000 0.5000 x3
Br1 0.0000 0.0000 0.0000 x3

As for the theoretical density: 6.55 Mg/m³. The value obtained for the density of states at the Fermi level is 10.87 states/eV/f.u.

***

Energetically preferred structure: 2 | next structure: +28 meV per atom

***

1.
CeSbBr after structural relaxation. Source: Alexandria via LeMat-Bulk, functional PBE.

abc: 4.418 4.418 9.041
angles: 90.00 90.00 90.00
Space group P4/nmm (No. 129, origin choice 2)
One atom of each set of equivalent atoms:
Ce1 0.250 0.250 0.237 x2
Sb1 0.250 0.750 0.500 x2
Br1 0.250 0.250 0.877 x2

As for the theoretical density: 6.43 Mg/m³. The value obtained for the density of states at the Fermi level is 8.44 states/eV/f.u.

***

2.
CeSbBr after structural relaxation. Source: Alexandria via LeMat-Bulk, functional PBE.

abc: 5.009 5.696 8.275
angles: 93.91 90.05 116.08
Space group P-1 (No. 2)
One atom of each set of equivalent atoms:
Ce1 0.231 0.463 0.232 x2
Sb1 0.087 0.173 0.873 x2
Br1 0.354 0.707 0.597 x2

As for the theoretical density: 5.37 Mg/m³. The value obtained for the density of states at the Fermi level is 6.85 states/eV/f.u.

***

Energetically preferred structure: 1 | next structure: +72 meV per atom